[1]
VASP calculation (GGA-PBE) on an optimized crystal structure of KSr2Sc.

Lattice parameters (Å, degrees): 4.541 6.184 13.078 90.00 90.00 90.00
Space group Cmm2 (No. 35)
Unique sites:
K  0.000  0.000  0.000
Sr  0.000  0.000  0.550
Sr  0.000  0.500  0.288
Sc  0.000  0.500  0.757

Values from the calculation:
Its crystal system is orthorhombic. The value obtained for the energy above the most stable polymorph in this dataset is 10.5 kJ/mol of atoms.

---

[2]
VASP calculation (GGA-PBE) on an optimized crystal structure of KSrSc2.

Lattice parameters (Å, degrees): 5.898 5.898 8.315 90.00 90.00 90.00
Space group I-4m2 (No. 119)
Unique sites:
K  0.000  0.000  0.000
Sr  0.000  0.500  0.250
Sc  0.000  0.000  0.500
Sc  0.000  0.500  0.750

Values from the calculation:
Its crystal system is tetragonal. The value obtained for the energy above the most stable polymorph in this dataset is 31.5 kJ/mol of atoms.

---

[3]
VASP calculation (GGA-PBE) on an optimized crystal structure of KSr2Sc.

Lattice parameters (Å, degrees): 4.0081 4.0081 40.2087 90.00 90.00 120.00
Space group R-3m (No. 166, hexagonal axes)
Unique sites:
K  0.0000  0.0000  0.0000
Sr  0.0000  0.0000  0.2369
Sc  0.0000  0.0000  0.5000

Values from the calculation:
Its crystal system is trigonal. The value obtained for the energy above the most stable polymorph in this dataset is 3.5 kJ/mol of atoms.

---

[4]
VASP calculation (GGA-PBE) on an optimized crystal structure of KSr2Sc.

Lattice parameters (Å, degrees): 9.837 9.837 7.814 90.00 90.00 90.00
Space group I-42d (No. 122)
Unique sites:
K  0.000  0.000  0.000
Sr  0.239  0.750  0.625
Sc  0.000  0.000  0.500

Values from the calculation:
Its crystal system is tetragonal. The value obtained for the energy above the most stable polymorph in this dataset is 35.8 kJ/mol of atoms.

---

[5]
VASP calculation (GGA-PBE) on an optimized crystal structure of KSr2Sc.

Lattice parameters (Å, degrees): 4.370 6.372 6.655 90.00 90.00 90.00
Space group Pmmm (No. 47)
Unique sites:
K  0.000  0.000  0.000
Sr  0.000  0.500  0.500
Sr  0.500  0.500  0.000
Sc  0.500  0.000  0.500

Values from the calculation:
Its crystal system is orthorhombic. The value obtained for the energy above the most stable polymorph in this dataset is 19.8 kJ/mol of atoms.

---

[6]
VASP calculation (GGA-PBE) on an optimized crystal structure of KSrSc2.

Lattice parameters (Å, degrees): 11.948 3.542 7.184 90.00 98.24 90.00
Space group Cm (No. 8)
Unique sites:
K  0.000  0.000  0.000
Sr  0.234  0.000  0.713
Sc  0.262  0.500  0.284
Sc  0.476  0.000  0.458

Values from the calculation:
Its crystal system is monoclinic. The value obtained for the energy above the most stable polymorph in this dataset is 21.4 kJ/mol of atoms.

---

[7]
VASP calculation (GGA-PBE) on an optimized crystal structure of KSr2Sc.

Lattice parameters (Å, degrees): 3.970 5.760 8.241 90.00 90.00 90.00
Space group Pmm2 (No. 25)
Unique sites:
K  0.000  0.000  0.000
Sr  0.000  0.000  0.457
Sr  0.500  0.500  0.722
Sc  0.500  0.500  0.267

Values from the calculation:
Its crystal system is orthorhombic. The value obtained for the energy above the most stable polymorph in this dataset is 15.9 kJ/mol of atoms.

---

[8]
VASP calculation (GGA-PBE) on an optimized crystal structure of KSrSc3.

Lattice parameters (Å, degrees): 5.398 5.398 5.398 90.00 90.00 90.00
Space group Pm-3m (No. 221)
Unique sites:
K  0.000  0.000  0.000
Sr  0.500  0.500  0.500
Sc  0.000  0.000  0.500

Values from the calculation:
Its crystal system is cubic. The value obtained for the energy above the most stable polymorph in this dataset is 0.0 kJ/mol of atoms.

---

[9]
VASP calculation (GGA-PBE) on an optimized crystal structure of KSr2Sc.

Lattice parameters (Å, degrees): 9.061 9.061 9.061 90.00 90.00 90.00
Space group F-43m (No. 216)
Unique sites:
K  0.000  0.000  0.000
Sr  0.000  0.000  0.500
Sr  0.250  0.250  0.250
Sc  0.250  0.250  0.750

Values from the calculation:
Its crystal system is cubic. The value obtained for the energy above the most stable polymorph in this dataset is 20.8 kJ/mol of atoms.

---

[10]
VASP calculation (GGA-PBE) on an optimized crystal structure of KSrSc2.

Lattice parameters (Å, degrees): 3.725 3.726 11.084 90.00 90.06 90.00
Space group Pm (No. 6)
Unique sites:
K  0.000  0.000  0.000
Sr  0.502  0.500  0.662
Sc  0.001  0.000  0.432
Sc  0.500  0.500  0.275

Values from the calculation:
Its crystal system is monoclinic. The value obtained for the energy above the most stable polymorph in this dataset is 0.0 kJ/mol of atoms.

---

[11]
VASP calculation (GGA-PBE) on an optimized crystal structure of KSrSc2.

Lattice parameters (Å, degrees): 3.764 5.938 6.336 90.00 90.00 90.00
Space group Pmmm (No. 47)
Unique sites:
K  0.000  0.000  0.000
Sr  0.500  0.500  0.000
Sc  0.000  0.500  0.500
Sc  0.500  0.000  0.500

Values from the calculation:
Its crystal system is orthorhombic. The value obtained for the energy above the most stable polymorph in this dataset is 28.6 kJ/mol of atoms.

---

[12]
VASP calculation (GGA-PBE) on an optimized crystal structure of KSrSc2.

Lattice parameters (Å, degrees): 8.375 8.375 8.375 90.00 90.00 90.00
Space group Fm-3m (No. 225)
Unique sites:
K  0.000  0.000  0.000
Sr  0.000  0.000  0.500
Sc  0.250  0.250  0.250

Values from the calculation:
Its crystal system is cubic. The value obtained for the energy above the most stable polymorph in this dataset is 40.5 kJ/mol of atoms.

---

[13]
VASP calculation (GGA-PBE) on an optimized crystal structure of KSrSc2.

Lattice parameters (Å, degrees): 3.502 6.194 7.306 90.00 101.30 90.00
Space group P2/m (No. 10)
Unique sites:
K  0.000  0.000  0.000
Sr  0.500  0.000  0.500
Sc  0.290  0.500  0.688

Values from the calculation:
Its crystal system is monoclinic. The value obtained for the energy above the most stable polymorph in this dataset is 24.9 kJ/mol of atoms.

---

[14]
VASP calculation (GGA-PBE) on an optimized crystal structure of KSrSc2.

Lattice parameters (Å, degrees): 3.855 5.818 12.832 90.00 90.00 90.00
Space group Cmmm (No. 65)
Unique sites:
K  0.000  0.000  0.000
Sr  0.000  0.000  0.500
Sc  0.000  0.500  0.265

Values from the calculation:
Its crystal system is orthorhombic. The value obtained for the energy above the most stable polymorph in this dataset is 23.6 kJ/mol of atoms.

---

[15]
VASP calculation (GGA-PBE) on an optimized crystal structure of KSrSc2.

Lattice parameters (Å, degrees): 3.704 6.436 12.638 90.00 90.00 90.00
Space group Imm2 (No. 44)
Unique sites:
K  0.000  0.000  0.000
Sr  0.000  0.500  0.223
Sc  0.000  0.000  0.452
Sc  0.000  0.500  0.762

Values from the calculation:
Its crystal system is orthorhombic. The value obtained for the energy above the most stable polymorph in this dataset is 21.7 kJ/mol of atoms.

---

[16]
VASP calculation (GGA-PBE) on an optimized crystal structure of KSr2Sc.

Lattice parameters (Å, degrees): 12.984 3.918 7.474 90.00 99.26 90.00
Space group C2/m (No. 12)
Unique sites:
K  0.000  0.000  0.000
Sr  0.236  0.000  0.724
Sc  0.000  0.500  0.500

Values from the calculation:
Its crystal system is monoclinic. The value obtained for the energy above the most stable polymorph in this dataset is 14.4 kJ/mol of atoms.

---

[17]
VASP calculation (GGA-PBE) on an optimized crystal structure of KSr2Sc.

Lattice parameters (Å, degrees): 4.175 6.894 13.202 90.00 90.00 90.00
Space group Immm (No. 71)
Unique sites:
K  0.000  0.000  0.000
Sr  0.000  0.500  0.228
Sc  0.000  0.000  0.500

Values from the calculation:
Its crystal system is orthorhombic. The value obtained for the energy above the most stable polymorph in this dataset is 15.9 kJ/mol of atoms.

---

[18]
VASP calculation (GGA-PBE) on an optimized crystal structure of KSr3Sc.

Lattice parameters (Å, degrees): 6.440 6.440 6.440 90.00 90.00 90.00
Space group Pm-3m (No. 221)
Unique sites:
K  0.000  0.000  0.000
Sr  0.000  0.000  0.500
Sc  0.500  0.500  0.500

Values from the calculation:
Its crystal system is cubic. The value obtained for the energy above the most stable polymorph in this dataset is 48.3 kJ/mol of atoms.

---

[19]
VASP calculation (GGA-PBE) on an optimized crystal structure of KSr2Sc.

Lattice parameters (Å, degrees): 4.109 4.108 11.348 90.00 90.04 90.00
Space group P2/m (No. 10)
Unique sites:
K  0.000  0.000  0.000
Sr  0.499  0.500  0.306
Sc  0.000  0.000  0.500

Values from the calculation:
Its crystal system is monoclinic. The value obtained for the energy above the most stable polymorph in this dataset is 0.0 kJ/mol of atoms.

---

[20]
VASP calculation (GGA-PBE) on an optimized crystal structure of KSrSc2.

Lattice parameters (Å, degrees): 7.086 11.792 3.535 90.00 90.00 90.00
Space group Cmmm (No. 65)
Unique sites:
K  0.000  0.000  0.000
Sr  0.000  0.500  0.000
Sc  0.250  0.250  0.500

Values from the calculation:
Its crystal system is orthorhombic. The value obtained for the energy above the most stable polymorph in this dataset is 32.0 kJ/mol of atoms.

---

[21]
VASP calculation (GGA-PBE) on an optimized crystal structure of KSrSc2.

Lattice parameters (Å, degrees): 4.998 4.998 11.794 90.00 90.00 90.00
Space group I4/mmm (No. 139)
Unique sites:
K  0.000  0.000  0.000
Sr  0.000  0.000  0.500
Sc  0.000  0.500  0.250

Values from the calculation:
Its crystal system is tetragonal. The value obtained for the energy above the most stable polymorph in this dataset is 33.0 kJ/mol of atoms.

---

[22]
VASP calculation (GGA-PBE) on an optimized crystal structure of KSr3Sc.

Lattice parameters (Å, degrees): 6.631 6.631 6.631 90.00 90.00 90.00
Space group Pm-3m (No. 221)
Unique sites:
K  0.000  0.000  0.000
Sr  0.000  0.500  0.500
Sc  0.500  0.500  0.500

Values from the calculation:
Its crystal system is cubic. The value obtained for the energy above the most stable polymorph in this dataset is 0.0 kJ/mol of atoms.

---

[23]
VASP calculation (GGA-PBE) on an optimized crystal structure of KSrSc2.

Lattice parameters (Å, degrees): 12.723 3.525 6.985 90.00 95.80 90.00
Space group C2/m (No. 12)
Unique sites:
K  0.000  0.000  0.000
Sr  0.000  0.500  0.500
Sc  0.248  0.000  0.691

Values from the calculation:
Its crystal system is monoclinic. The value obtained for the energy above the most stable polymorph in this dataset is 25.6 kJ/mol of atoms.

---

[24]
VASP calculation (GGA-PBE) on an optimized crystal structure of KSrSc2.

Lattice parameters (Å, degrees): 3.5465 3.5465 39.8500 90.00 90.00 120.00
Space group R-3m (No. 166, hexagonal axes)
Unique sites:
K  0.0000  0.0000  0.0000
Sr  0.0000  0.0000  0.5000
Sc  0.0000  0.0000  0.0894

Values from the calculation:
Its crystal system is trigonal. The value obtained for the energy above the most stable polymorph in this dataset is 26.1 kJ/mol of atoms.

---

[25]
VASP calculation (GGA-PBE) on an optimized crystal structure of KSr2Sc.

Lattice parameters (Å, degrees): 8.998 8.998 8.998 90.00 90.00 90.00
Space group Fm-3m (No. 225)
Unique sites:
K  0.000  0.000  0.000
Sr  0.250  0.250  0.250
Sc  0.000  0.000  0.500

Values from the calculation:
Its crystal system is cubic. The value obtained for the energy above the most stable polymorph in this dataset is 15.1 kJ/mol of atoms.

---

[26]
VASP calculation (GGA-PBE) on an optimized crystal structure of KSr2Sc.

Lattice parameters (Å, degrees): 4.152 6.600 13.584 90.00 90.00 90.00
Space group Imm2 (No. 44)
Unique sites:
K  0.000  0.000  0.000
Sr  0.000  0.000  0.453
Sr  0.000  0.500  0.230
Sc  0.000  0.500  0.734

Values from the calculation:
Its crystal system is orthorhombic. The value obtained for the energy above the most stable polymorph in this dataset is 13.6 kJ/mol of atoms.

---

[27]
VASP calculation (GGA-PBE) on an optimized crystal structure of KSrSc2.

Lattice parameters (Å, degrees): 3.5955 3.5955 38.9590 90.00 90.00 120.00
Space group R-3m (No. 166, hexagonal axes)
Unique sites:
K  0.0000  0.0000  0.0000
Sr  0.0000  0.0000  0.5000
Sc  0.0000  0.0000  0.2448

Values from the calculation:
Its crystal system is trigonal. The value obtained for the energy above the most stable polymorph in this dataset is 23.5 kJ/mol of atoms.

---

[28]
VASP calculation (GGA-PBE) on an optimized crystal structure of KSr2ScV.

Lattice parameters (Å, degrees): 5.838 5.838 5.953 90.00 90.00 90.00
Space group P4/mmm (No. 123)
Unique sites:
K  0.000  0.000  0.000
Sr  0.000  0.500  0.500
Sc  0.500  0.500  0.000
V  0.000  0.000  0.500

Values from the calculation:
Its crystal system is tetragonal.

---

[29]
VASP calculation (GGA-PBE) on an optimized crystal structure of K2SrScW.

Lattice parameters (Å, degrees): 5.660 5.660 5.779 90.00 90.00 90.00
Space group P4/mmm (No. 123)
Unique sites:
K  0.000  0.500  0.000
Sr  0.000  0.000  0.000
Sc  0.000  0.000  0.500
W  0.500  0.500  0.500

Values from the calculation:
Its crystal system is tetragonal.

---

[30]
VASP calculation (GGA-PBE) on an optimized crystal structure of KSrScZn2.

Lattice parameters (Å, degrees): 5.489 5.489 6.140 90.00 90.00 90.00
Space group P4/mmm (No. 123)
Unique sites:
K  0.000  0.000  0.000
Sr  0.500  0.500  0.000
Sc  0.500  0.500  0.500
Zn  0.000  0.500  0.500

Values from the calculation:
Its crystal system is tetragonal.

---

| no. | ΔE_f (meV per atom) | M_tot (μB/f.u.) |
| --- | --- | --- |
| 1 | 366 | 0.21 |
| 2 | 636 | 0.75 |
| 3 | 293 | 1.04 |
| 4 | 627 | 1.62 |
| 5 | 462 | 1.13 |
| 6 | 531 | 1.75 |
| 7 | 421 | 1.00 |
| 8 | 1107 | 0.00 |
| 9 | 472 | 0.99 |
| 10 | 309 | 0.40 |
| 11 | 606 | 0.59 |
| 12 | 729 | 0.00 |
| 13 | 567 | 0.96 |
| 14 | 554 | 0.62 |
| 15 | 534 | 0.00 |
| 16 | 405 | 1.37 |
| 17 | 421 | 1.69 |
| 18 | 988 | 2.59 |
| 19 | 256 | 0.00 |
| 20 | 640 | 1.88 |
| 21 | 650 | 1.83 |
| 22 | 488 | 3.64 |
| 23 | 574 | 1.88 |
| 24 | 579 | 2.10 |
| 25 | 413 | 0.00 |
| 26 | 397 | 1.43 |
| 27 | 552 | 2.10 |
| 28 | 1320 | 0.51 |
| 29 | 2493 | 0.63 |
| 30 | 483 | 0.00 |